This record from Alexandria via LeMat-Bulk describes crystalline Ba2MnAuO at its relaxed geometry. The functional is PBE+U.

The structure in POSCAR format:
```
Ba2MnAuO
1.0
6.510 0.000 0.000
0.000 4.149 0.000
0.000 0.000 6.510
Mn Au Ba O
1 1 2 1
direct
0.500 0.500 0.500
0.000 0.000 0.000
0.000 0.000 0.500
0.500 0.000 0.000
0.000 0.500 0.000
```

Values from the calculation:
- SG: P4/mmm
- Total magnetic moment: 5.4 μB/f.u.
- Calculated total energy: -19.62 eV for the cell shown